Computed, not measured: crystalline NpIn3Br6 at its relaxed geometry at the PBE-GGA level of DFT.

Geometry as CIF:
```
data_NpIn3Br6
_chemical_formula_sum 'Np1 In3 Br6'
_space_group_name_H-M_alt 'P 1'
_space_group_IT_number 1
_cell_length_a 7.597
_cell_length_b 7.597
_cell_length_c 8.849
_cell_angle_alpha 109.83
_cell_angle_beta 109.83
_cell_angle_gamma 102.11
loop_
_space_group_symop_operation_xyz
'x,y,z'
loop_
_atom_site_label
_atom_site_fract_x
_atom_site_fract_y
_atom_site_fract_z
Np1 0.000 0.000 0.000
In1 0.750 0.250 0.500
In2 0.500 0.500 0.000
In3 0.250 0.750 0.500
Br1 0.647 0.647 0.734
Br2 0.912 0.912 0.266
Br3 0.088 0.088 0.734
Br4 0.353 0.353 0.266
Br5 0.762 0.238 0.000
Br6 0.238 0.762 0.000
```

Calculated volume   42.041 A^3/atom
Raw formation energy   -846.2 meV/atom
Relative energy among the computed polymorphs   0.81 eV/f.u.
D(E_F)   7.41 states/eV/f.u.


Computed, not measured: crystalline HfTi2PRh at its relaxed geometry at the PBE-GGA level of DFT.

Geometry as CIF:
```
data_HfTi2PRh
_chemical_formula_sum 'Hf1 Ti2 P1 Rh1'
_space_group_name_H-M_alt 'P 1'
_space_group_IT_number 1
_cell_length_a 4.908
_cell_length_b 4.601
_cell_length_c 4.908
_cell_angle_alpha 90.00
_cell_angle_beta 90.00
_cell_angle_gamma 90.00
loop_
_space_group_symop_operation_xyz
'x,y,z'
loop_
_atom_site_label
_atom_site_fract_x
_atom_site_fract_y
_atom_site_fract_z
Rh1 0.000 0.500 0.000
Hf1 0.000 0.000 0.000
P1 0.500 0.500 0.500
Ti1 0.000 0.000 0.500
Ti2 0.500 0.000 0.000
```

ΔE_f   6.02 eV/f.u.
Calculated volume   22.170 A^3/atom
D(E_F)   4.81 states/eV/f.u.


Computed, not measured: crystalline YAgTeI2 at its relaxed geometry at the PBE-GGA level of DFT.

Geometry as CIF:
```
data_YAgTeI2
_chemical_formula_sum 'Y1 Ag1 Te1 I2'
_space_group_name_H-M_alt 'P 1'
_space_group_IT_number 1
_cell_length_a 5.938
_cell_length_b 5.938
_cell_length_c 6.024
_cell_angle_alpha 90.00
_cell_angle_beta 90.00
_cell_angle_gamma 90.00
loop_
_space_group_symop_operation_xyz
'x,y,z'
loop_
_atom_site_label
_atom_site_fract_x
_atom_site_fract_y
_atom_site_fract_z
I1 0.000 0.500 0.000
I2 0.500 0.000 0.000
Y1 0.000 0.000 0.000
Te1 0.000 0.000 0.500
Ag1 0.500 0.500 0.500
```

Calculated volume   42.482 A^3/atom
Raw formation energy   -441.3 meV/atom
Relative energy among the computed polymorphs   0.00 eV/f.u.
D(E_F)   1.58 states/eV/f.u.


Computed, not measured: crystalline Li6LaPd2 at its relaxed geometry at the PBE-GGA level of DFT.

Geometry as CIF:
```
data_Li6LaPd2
_chemical_formula_sum 'Li6 La1 Pd2'
_space_group_name_H-M_alt 'P 1'
_space_group_IT_number 1
_cell_length_a 4.030
_cell_length_b 4.030
_cell_length_c 10.769
_cell_angle_alpha 90.00
_cell_angle_beta 90.00
_cell_angle_gamma 90.00
loop_
_space_group_symop_operation_xyz
'x,y,z'
loop_
_atom_site_label
_atom_site_fract_x
_atom_site_fract_y
_atom_site_fract_z
Li1 0.000 0.500 0.286
Li2 0.500 0.000 0.286
Li3 0.000 0.500 0.714
Li4 0.500 0.000 0.714
Li5 0.500 0.500 0.500
Li6 0.000 0.000 0.500
La1 0.000 0.000 0.000
Pd1 0.500 0.500 0.127
Pd2 0.500 0.500 0.873
```

ΔE_f   -2.73 eV/f.u.
Calculated volume   19.436 A^3/atom
D(E_F)   6.98 states/eV/f.u.


Computed, not measured: crystalline AgGe2I6 at its relaxed geometry at the PBE-GGA level of DFT.

Geometry as CIF:
```
data_AgGe2I6
_chemical_formula_sum 'Ag2 Ge4 I12'
_space_group_name_H-M_alt 'P 1'
_space_group_IT_number 1
_cell_length_a 10.485
_cell_length_b 10.915
_cell_length_c 10.915
_cell_angle_alpha 82.22
_cell_angle_beta 61.99
_cell_angle_gamma 61.99
loop_
_space_group_symop_operation_xyz
'x,y,z'
loop_
_atom_site_label
_atom_site_fract_x
_atom_site_fract_y
_atom_site_fract_z
Ag1 0.250 0.180 0.820
Ag2 0.750 0.820 0.180
Ge1 0.214 0.612 0.736
Ge2 0.286 0.264 0.388
Ge3 0.786 0.388 0.264
Ge4 0.714 0.736 0.612
I1 0.500 0.645 0.610
I2 0.000 0.390 0.355
I3 0.500 0.355 0.390
I4 0.000 0.610 0.645
I5 0.786 0.887 0.397
I6 0.714 0.603 0.113
I7 0.214 0.113 0.603
I8 0.286 0.397 0.887
I9 0.021 0.834 0.929
I10 0.479 0.071 0.166
I11 0.979 0.166 0.071
I12 0.521 0.929 0.834
```

Calculated volume   53.775 A^3/atom
Raw formation energy   -221.6 meV/atom
D(E_F)   2.97 states/eV/f.u.